Entry 1:
This record from Alexandria describes a relaxed structure of KOs3Au. The functional is PBE.

## Properties
Final energy   -4.9118 eV per atom
Calculated volume   25.9 Å³/atom

Cell: 5.058 5.058 5.058 Å, 90.00 90.00 90.00°
Sites, in units of the cell vectors:
Os 0.000 0.500 0.000
Os 0.000 0.000 0.500
Os 0.500 0.000 0.000
K 0.500 0.500 0.500
Au 0.000 0.000 0.000

---

Entry 2:
This record from Alexandria describes a relaxed structure of KOsAu3. The functional is PBE.

## Properties
Final energy   -3.8386 eV per atom
Calculated volume   27.2 Å³/atom

Cell: 5.142 5.142 5.142 Å, 90.00 90.00 90.00°
Sites, in units of the cell vectors:
Os 0.000 0.000 0.000
K 0.500 0.500 0.500
Au 0.000 0.500 0.000
Au 0.000 0.000 0.500
Au 0.500 0.000 0.000

---

Entry 3:
This record from Alexandria describes a relaxed structure of KOsAu2. The functional is PBE.

## Properties
Final energy   -3.6829 eV per atom
Calculated volume   20.4 Å³/atom

Cell: 4.867 4.867 4.867 Å, 60.00 60.00 60.00°
Sites, in units of the cell vectors:
Os 0.500 0.500 0.500
K 0.000 0.000 0.000
Au 0.250 0.250 0.250
Au 0.750 0.750 0.750

---

Entry 4:
This record from Alexandria describes a relaxed structure of KOsAu. The functional is PBE.

## Properties
Final energy   -4.1843 eV per atom
Calculated volume   25.2 Å³/atom

Cell: 6.499 6.499 6.499 Å, 148.29 148.29 45.46°
Sites, in units of the cell vectors:
Au 0.053 0.053 0.000
K 0.335 0.335 0.000
Os 0.612 0.612 0.000

---

Entry 5:
This record from Alexandria describes a relaxed structure of KOsAu2. The functional is PBE.

## Properties
Final energy   -4.1297 eV per atom
Calculated volume   19.6 Å³/atom

Cell: 2.871 2.871 9.496 Å, 90.00 90.00 89.99°
Sites, in units of the cell vectors:
Au 0.000 0.000 0.960
Au 0.000 0.000 0.540
K 0.500 0.500 0.250
Os 0.500 0.500 0.750

---

Entry 6:
This record from Alexandria describes a relaxed structure of KOsAu2. The functional is PBE.

## Properties
Final energy   -4.1015 eV per atom
Calculated volume   18.8 Å³/atom

Cell: 10.525 10.525 10.525 Å, 15.80 15.80 15.80°
Sites, in units of the cell vectors:
Au 0.009 0.009 0.009
Au 0.491 0.491 0.491
K 0.250 0.250 0.250
Os 0.750 0.750 0.750

---

Entry 7:
This record from Alexandria describes a relaxed structure of KOsAu2. The functional is PBE.

## Properties
Final energy   -3.8555 eV per atom
Calculated volume   33.8 Å³/atom

Cell: 5.857 5.857 8.903 Å, 70.80 70.80 90.00°
Sites, in units of the cell vectors:
Os 0.000 0.000 0.000
Os 0.750 0.250 0.500
K 0.500 0.500 0.000
K 0.250 0.750 0.500
Au 0.796 0.125 0.250
Au 0.954 0.625 0.250
Au 0.375 0.204 0.750
Au 0.875 0.046 0.750

---

Entry 8:
This record from Alexandria describes a relaxed structure of KOsAu2. The functional is PBE.

## Properties
Final energy   -4.0688 eV per atom
Calculated volume   20.2 Å³/atom

Cell: 6.369 6.369 6.369 Å, 155.45 130.99 55.56°
Sites, in units of the cell vectors:
Au 0.009 0.009 0.000
Au 0.771 0.271 0.500
K 0.498 0.498 0.000
Os 0.222 0.722 0.500

---

Entry 9:
This record from Alexandria describes a relaxed structure of KOsAu. The functional is PBE.

## Properties
Final energy   -4.3019 eV per atom
Calculated volume   19.0 Å³/atom

Cell: 2.825 2.825 8.263 Å, 90.00 90.00 120.00°
Sites, in units of the cell vectors:
Au 0.000 0.000 0.982
K 0.667 0.333 0.336
Os 0.333 0.667 0.682

---

Entry 10:
This record from Alexandria describes a relaxed structure of KOsAu2. The functional is PBE.

## Properties
Final energy   -4.0997 eV per atom
Calculated volume   23.3 Å³/atom

Cell: 2.690 4.708 7.345 Å, 90.00 90.00 90.00°
Sites, in units of the cell vectors:
Au 0.000 0.000 0.918
Au 0.500 0.500 0.226
K 0.000 0.000 0.494
Os 0.500 0.500 0.863

---

Entry 11:
This record from Alexandria describes a relaxed structure of KOsAu. The functional is PBE.

## Properties
Final energy   -4.0992 eV per atom
Calculated volume   20.4 Å³/atom

Cell: 5.138 5.138 2.671 Å, 90.00 90.00 120.00°
Sites, in units of the cell vectors:
Au 0.000 0.000 0.833
K 0.333 0.667 0.334
Os 0.667 0.333 0.833

---

Entry 12:
This record from Alexandria describes a relaxed structure of KOsAu2. The functional is PBE.

## Properties
Final energy   -3.9641 eV per atom
Calculated volume   22.4 Å³/atom

Cell: 6.548 6.548 6.548 Å, 156.10 127.79 58.20°
Sites, in units of the cell vectors:
Au 0.045 0.045 0.000
Au 0.455 0.455 0.000
K 0.750 0.250 0.500
Os 0.250 0.750 0.500

---

Entry 13:
This record from Alexandria describes a relaxed structure of KOsAu3. The functional is PBE.

## Properties
Final energy   -2.1163 eV per atom
Calculated volume   29.4 Å³/atom

Cell: 5.277 5.277 5.277 Å, 90.00 90.00 90.00°
Sites, in units of the cell vectors:
Os 0.500 0.500 0.500
K 0.000 0.000 0.000
Au 0.000 0.500 0.000
Au 0.000 0.000 0.500
Au 0.500 0.000 0.000

---

Entry 14:
This record from Alexandria describes a relaxed structure of KOsAu2. The functional is PBE.

## Properties
Final energy   -3.8131 eV per atom
Calculated volume   20.7 Å³/atom

Cell: 2.688 5.868 5.256 Å, 90.00 90.00 90.00°
Sites, in units of the cell vectors:
Au 0.000 0.000 0.000
Au 0.500 0.500 0.000
K 0.500 0.000 0.500
Os 0.000 0.500 0.500

---

Entry 15:
This record from Alexandria describes a relaxed structure of KOsAu2. The functional is PBE.

## Properties
Final energy   -4.2114 eV per atom
Calculated volume   21.2 Å³/atom

Cell: 4.120 2.720 8.045 Å, 70.15 90.00 90.00°
Sites, in units of the cell vectors:
Au 0.000 0.062 0.937
Au 0.000 0.438 0.563
K 0.500 0.250 0.250
Os 0.500 0.750 0.750

---

Number 1: energy of formation 2701 meV/atom. Number 2: energy of formation 593 meV/atom. Number 3: energy of formation 1038 meV/atom. Number 4: energy of formation 1017 meV/atom. Number 5: energy of formation 591 meV/atom. Number 6: energy of formation 619 meV/atom. Number 7: energy of formation 865 meV/atom. Number 8: energy of formation 652 meV/atom. Number 9: energy of formation 900 meV/atom. Number 10: energy of formation 621 meV/atom. Number 11: energy of formation 1102 meV/atom. Number 12: energy of formation 756 meV/atom. Number 13: energy of formation 2316 meV/atom. Number 14: energy of formation 907 meV/atom. Number 15: energy of formation 509 meV/atom.